Entry 1:
This record from the Alexandria database describes ThGaBi2 after structural relaxation. The functional is PBE-GGA.

Calculated values
calculated formation energy = -1.38 eV per formula unit
SG = P4/mmm (123)
DOS at the Fermi energy = 2.55 states/eV per cell
relative energy among the computed polymorphs = 0 meV/atom
DFT total energy = -4.897 eV/atom

abc: 4.937 4.937 4.569
angles: 90.00 90.00 90.00
Element x y z (fractional)
Th (0.000, 0.000, 0.000)
Ga (0.500, 0.500, 0.000)
Bi (0.000, 0.500, 0.500)
Bi (0.500, 0.000, 0.500)

Entry 2:
This record from the Alexandria database describes Cs2RbHAu after structural relaxation. The functional is PBE-GGA.

Calculated values
SG = Cmcm (63)
DOS at the Fermi energy = 6.57 states/eV per cell
relative energy among the computed polymorphs = 0 meV/atom
DFT total energy = -1.987 eV/atom

abc: 10.417 10.417 9.268
angles: 90.00 90.00 152.58
Element x y z (fractional)
Cs (0.156, 0.844, 0.513)
Cs (0.156, 0.844, 0.987)
Cs (0.844, 0.156, 0.013)
Cs (0.844, 0.156, 0.487)
Rb (0.487, 0.513, 0.750)
Rb (0.513, 0.487, 0.250)
H (0.000, 0.000, 0.000)
H (0.000, 0.000, 0.500)
Au (0.311, 0.689, 0.750)
Au (0.689, 0.311, 0.250)

Entry 3:
This record from the Alexandria database describes GaHg2RuW after structural relaxation. The functional is PBE-GGA.

Calculated values
calculated formation energy = 8.43 eV per formula unit
SG = P4/mmm (123)
DOS at the Fermi energy = 4.39 states/eV per cell
DFT total energy = -3.486 eV/atom

abc: 4.842 4.842 4.717
angles: 90.00 90.00 90.00
Element x y z (fractional)
Ga (0.000, 0.000, 0.000)
Hg (0.000, 0.500, 0.000)
Hg (0.500, 0.000, 0.000)
Ru (0.000, 0.000, 0.500)
W (0.500, 0.500, 0.500)

What did the third record say?
This record from the Alexandria database describes GaHg2RuW after structural relaxation. The functional is PBE-GGA.

Calculated values
calculated formation energy = 8.43 eV per formula unit
SG = P4/mmm (123)
DOS at the Fermi energy = 4.39 states/eV per cell
DFT total energy = -3.486 eV/atom

abc: 4.842 4.842 4.717
angles: 90.00 90.00 90.00
Element x y z (fractional)
Ga (0.000, 0.000, 0.000)
Hg (0.000, 0.500, 0.000)
Hg (0.500, 0.000, 0.000)
Ru (0.000, 0.000, 0.500)
W (0.500, 0.500, 0.500)

Question: Among the records above, which one has the highest DFT total energy?
Answer: Cs2RbHAu

Question: Which of these has the highest DFT total energy?
Answer: Cs2RbHAu

Question: The highest DFT total energy belongs to which entry?
Answer: Cs2RbHAu